Density functional theory data (PBE) for a relaxed SiB2C3 crystal.

Mass density, g/cm³: 3.10
Symmetry: Cm (8)
Energy, eV/atom: -7.472

Cell lengths 6.476, 2.878, 5.078 Å; angles 90.00, 103.82, 90.00 degrees
Positions (direct):
Si 0.756 0.000 0.713
Si 0.756 0.500 0.213
B 0.183 0.000 0.476
B 0.183 0.500 0.976
B 0.402 0.000 0.293
B 0.402 0.500 0.793
C 0.457 0.000 0.652
C 0.457 0.500 0.152
C 0.866 0.000 0.079
C 0.866 0.500 0.579
C 0.114 0.000 0.097
C 0.114 0.500 0.597